DFT (PBE) results for an optimized crystal structure of Pr4CSe2O.

## Properties
Space-group type: P2/m, No. 10

a b c (Å): 6.730 3.925 7.215
angles (deg): 90.00 108.28 90.00
Positions (direct):
Pr 0.235 0.000 0.206
Pr 0.259 0.500 0.794
Pr 0.741 0.500 0.206
Pr 0.765 0.000 0.794
C 0.000 0.500 0.000
Se 0.000 0.000 0.500
Se 0.500 0.500 0.500
O 0.500 0.000 0.000

---

DFT (PBE) results for an optimized crystal structure of Pr6C2Se3O.

## Properties
Space-group type: C2/m, No. 12

a b c (Å): 9.128 9.128 8.221
angles (deg): 106.62 106.62 24.91
Positions (direct):
Pr 0.012 0.012 0.231
Pr 0.324 0.324 0.441
Pr 0.341 0.341 0.891
Pr 0.659 0.659 0.109
Pr 0.676 0.676 0.559
Pr 0.988 0.988 0.769
C 0.162 0.162 0.325
C 0.838 0.838 0.675
Se 0.166 0.166 0.832
Se 0.500 0.500 0.500
Se 0.834 0.834 0.168
O 0.500 0.500 0.000

---

DFT (PBE) results for an optimized crystal structure of Pr6Sn2CO.

## Properties
Space-group type: Fm-3m, No. 225

a b c (Å): 7.191 7.191 7.191
angles (deg): 60.00 60.00 60.00
Positions (direct):
Pr 0.249 0.249 0.751
Pr 0.249 0.751 0.249
Pr 0.249 0.751 0.751
Pr 0.751 0.249 0.249
Pr 0.751 0.249 0.751
Pr 0.751 0.751 0.249
Sn 0.250 0.250 0.250
Sn 0.750 0.750 0.750
C 0.000 0.000 0.000
O 0.500 0.500 0.500

---

Calculated density / g/cm3: 6.88; 6.76; 7.02
Formation energy (no corrections) / eV/atom: -1.626; -1.414; -0.978